(1)
# Li8GaHg2 | Alexandria via LeMat-Bulk | GGA-PBE | optimized geometry
data_Li8GaHg2
_chemical_formula_sum 'Li16 Ga2 Hg4'
_cell_length_a 7.551
_cell_length_b 12.903
_cell_length_c 4.632
_cell_angle_alpha 90.00
_cell_angle_beta 114.02
_cell_angle_gamma 90.00
_symmetry_space_group_name_H-M 'C 1 2/m 1'
_symmetry_Int_Tables_number 12
loop_
_symmetry_equiv_pos_as_xyz
'x,y,z'
'-x,-y,-z'
'-x,y,-z'
'x,-y,z'
'x+1/2,y+1/2,z'
'-x+1/2,-y+1/2,-z'
'-x+1/2,y+1/2,-z'
'x+1/2,-y+1/2,z'
loop_
_atom_site_label
_atom_site_fract_x
_atom_site_fract_y
_atom_site_fract_z
_atom_site_occupancy
Li1 0.000 0.209 0.000 1
Li2 0.118 0.500 0.813 1
Li3 0.198 0.111 0.625 1
Ga1 0.000 0.000 0.000 1
Hg1 0.000 0.314 0.500 1
# Mass density = 4.2 Mg/m³
# Total DFT energy (no corrections) = -1.915 eV/atom
# Crystal system = monoclinic
# Energy relative to the elements = -0.193 eV per atom
# Energy relative to the lowest polymorph listed for this composition = 0.053 eV per atom


(2)
# Zr3TiCu2N | Alexandria via LeMat-Bulk | GGA-PBE | optimized geometry
data_Zr3TiCu2N
_chemical_formula_sum 'Zr6 Ti2 Cu4 N2'
_cell_length_a 4.136
_cell_length_b 4.377
_cell_length_c 13.140
_cell_angle_alpha 90.00
_cell_angle_beta 90.00
_cell_angle_gamma 90.00
_symmetry_space_group_name_H-M 'I m m m'
_symmetry_Int_Tables_number 71
_symmetry_space_group_name_Hall '-I 2 2'
loop_
_atom_site_label
_atom_site_fract_x
_atom_site_fract_y
_atom_site_fract_z
_atom_site_occupancy
Zr1 0.000 0.000 0.000 1
Zr2 0.000 0.500 0.177 1
Ti1 0.000 0.000 0.500 1
Cu1 0.000 0.500 0.374 1
N1 0.000 0.500 0.000 1
# Mass density = 6.5 Mg/m³
# Total DFT energy (no corrections) = -7.655 eV/atom
# Crystal system = orthorhombic
# Raw formation energy = -0.504 eV per atom


(3)
# LiPt3F | Alexandria via LeMat-Bulk | GGA-PBE | optimized geometry
data_LiPt3F
_chemical_formula_sum 'Li1 Pt3 F1'
_cell_length_a 4.403
_cell_length_b 4.403
_cell_length_c 4.403
_cell_angle_alpha 90.00
_cell_angle_beta 90.00
_cell_angle_gamma 90.00
_symmetry_space_group_name_H-M 'P m -3 m'
_symmetry_Int_Tables_number 221
_symmetry_space_group_name_Hall '-P 4 2 3'
loop_
_atom_site_label
_atom_site_fract_x
_atom_site_fract_y
_atom_site_fract_z
_atom_site_occupancy
Li1 0.000 0.000 0.000 1
Pt1 0.000 0.500 0.500 1
F1 0.500 0.500 0.500 1
# Mass density = 11.9 Mg/m³
# Total DFT energy (no corrections) = -3.829 eV/atom
# Crystal system = cubic
# Raw formation energy = 0.553 eV per atom
# Energy relative to the lowest polymorph listed for this composition = 0.000 eV per atom


(4)
# La7Nd12Er | Alexandria via LeMat-Bulk | GGA-PBE | optimized geometry
data_La7Nd12Er
_chemical_formula_sum 'La14 Nd24 Er2'
_cell_length_a 11.491
_cell_length_b 11.491
_cell_length_c 11.491
_cell_angle_alpha 90.00
_cell_angle_beta 90.00
_cell_angle_gamma 90.00
_symmetry_space_group_name_H-M 'I m -3'
_symmetry_Int_Tables_number 204
_symmetry_space_group_name_Hall '-I 2 2 3'
loop_
_atom_site_label
_atom_site_fract_x
_atom_site_fract_y
_atom_site_fract_z
_atom_site_occupancy
La1 0.000 0.000 0.500 1
La2 0.250 0.250 0.250 1
Nd1 0.000 0.210 0.274 1
Er1 0.000 0.000 0.000 1
# Mass density = 6.3 Mg/m³
# Total DFT energy (no corrections) = -4.248 eV/atom
# Crystal system = cubic
# Energy relative to the elements = 0.566 eV per atom
# Energy relative to the lowest polymorph listed for this composition = 0.384 eV per atom


(5)
# MgTlGa | Alexandria via LeMat-Bulk | GGA-PBE | optimized geometry
data_MgTlGa
_chemical_formula_sum 'Mg2 Tl2 Ga2'
_cell_length_a 5.614
_cell_length_b 5.781
_cell_length_c 5.785
_cell_angle_alpha 87.68
_cell_angle_beta 61.71
_cell_angle_gamma 61.72
_symmetry_space_group_name_H-M 'P 1'
_symmetry_Int_Tables_number 1
loop_
_symmetry_equiv_pos_as_xyz
'x,y,z'
loop_
_atom_site_label
_atom_site_fract_x
_atom_site_fract_y
_atom_site_fract_z
_atom_site_occupancy
Mg1 0.000 0.000 0.000 1
Mg2 0.498 0.499 0.501 1
Tl1 0.248 0.371 0.130 1
Tl2 0.748 0.629 0.871 1
Ga1 0.498 0.999 0.498 1
Ga2 0.997 0.000 0.502 1
# Mass density = 7.0 Mg/m³
# Total DFT energy (no corrections) = -2.354 eV/atom
# Crystal system = triclinic
# Energy relative to the elements = -0.025 eV per atom


(6)
# Hg3HAu | Alexandria via LeMat-Bulk | GGA-PBE | optimized geometry
data_Hg3HAu
_chemical_formula_sum 'Hg12 H4 Au4'
_cell_length_a 3.498
_cell_length_b 11.858
_cell_length_c 10.899
_cell_angle_alpha 90.00
_cell_angle_beta 97.51
_cell_angle_gamma 90.00
_symmetry_space_group_name_H-M 'P 1 21/c 1'
_symmetry_Int_Tables_number 14
loop_
_symmetry_equiv_pos_as_xyz
'x,y,z'
'-x,-y,-z'
'-x,y+1/2,-z+1/2'
'x,-y+1/2,z+1/2'
loop_
_atom_site_label
_atom_site_fract_x
_atom_site_fract_y
_atom_site_fract_z
_atom_site_occupancy
Hg1 0.068 0.201 0.307 1
Hg2 0.102 0.534 0.675 1
Hg3 0.309 0.081 0.586 1
H1 0.435 0.676 0.458 1
Au1 0.064 0.181 0.040 1
# Mass density = 11.9 Mg/m³
# Total DFT energy (no corrections) = -1.418 eV/atom
# Crystal system = monoclinic
# Energy relative to the lowest polymorph listed for this composition = 0.000 eV per atom


(7)
# Li2PrZnCd4 | Alexandria via LeMat-Bulk | GGA-PBE | optimized geometry
data_Li2PrZnCd4
_chemical_formula_sum 'Li6 Pr3 Zn3 Cd12'
_cell_length_a 4.6802
_cell_length_b 4.6802
_cell_length_c 27.7065
_cell_angle_alpha 90.00
_cell_angle_beta 90.00
_cell_angle_gamma 120.00
_symmetry_space_group_name_H-M 'R -3 m'
_symmetry_Int_Tables_number 166
_symmetry_space_group_name_Hall '-R 3 2"'
loop_
_atom_site_label
_atom_site_fract_x
_atom_site_fract_y
_atom_site_fract_z
_atom_site_occupancy
Li1 0.0000 0.0000 0.2362 1
Pr1 0.0000 0.0000 0.0000 1
Zn1 0.0000 0.0000 0.5000 1
Cd1 0.0000 0.0000 0.1277 1
Cd2 0.0000 0.0000 0.3981 1
# Mass density = 6.3 Mg/m³
# Total DFT energy (no corrections) = -1.891 eV/atom
# Crystal system = trigonal
# Energy relative to the elements = -0.199 eV per atom


(8)
# Ca2ReBP | Alexandria via LeMat-Bulk | GGA-PBE | optimized geometry
data_Ca2ReBP
_chemical_formula_sum 'Ca2 Re1 B1 P1'
_cell_length_a 5.546
_cell_length_b 5.546
_cell_length_c 4.466
_cell_angle_alpha 90.00
_cell_angle_beta 90.00
_cell_angle_gamma 90.00
_symmetry_space_group_name_H-M 'P 4/m m m'
_symmetry_Int_Tables_number 123
_symmetry_space_group_name_Hall '-P 4 2'
loop_
_atom_site_label
_atom_site_fract_x
_atom_site_fract_y
_atom_site_fract_z
_atom_site_occupancy
Ca1 0.000 0.500 0.000 1
Re1 0.000 0.000 0.000 1
B1 0.500 0.500 0.500 1
P1 0.000 0.000 0.500 1
# Mass density = 3.7 Mg/m³
# Total DFT energy (no corrections) = -4.739 eV/atom
# Crystal system = tetragonal
# Energy relative to the elements = 0.968 eV per atom


(9)
# BeZnN3 | Alexandria via LeMat-Bulk | GGA-PBE | optimized geometry
data_BeZnN3
_chemical_formula_sum 'Be1 Zn1 N3'
_cell_length_a 3.820
_cell_length_b 3.820
_cell_length_c 3.820
_cell_angle_alpha 90.00
_cell_angle_beta 90.00
_cell_angle_gamma 90.00
_symmetry_space_group_name_H-M 'P m -3 m'
_symmetry_Int_Tables_number 221
_symmetry_space_group_name_Hall '-P 4 2 3'
loop_
_atom_site_label
_atom_site_fract_x
_atom_site_fract_y
_atom_site_fract_z
_atom_site_occupancy
Be1 0.000 0.000 0.000 1
Zn1 0.500 0.500 0.500 1
N1 0.000 0.500 0.500 1
# Mass density = 3.5 Mg/m³
# Total DFT energy (no corrections) = -3.705 eV/atom
# Crystal system = cubic
# Raw formation energy = 2.291 eV per atom


(10)
# Mg2FeSe | Alexandria via LeMat-Bulk | GGA-PBE | optimized geometry
data_Mg2FeSe
_chemical_formula_sum 'Mg8 Fe4 Se4'
_cell_length_a 6.577
_cell_length_b 6.577
_cell_length_c 6.577
_cell_angle_alpha 90.00
_cell_angle_beta 90.00
_cell_angle_gamma 90.00
_symmetry_space_group_name_H-M 'F -4 3 m'
_symmetry_Int_Tables_number 216
_symmetry_space_group_name_Hall 'F -4 2 3'
loop_
_atom_site_label
_atom_site_fract_x
_atom_site_fract_y
_atom_site_fract_z
_atom_site_occupancy
Mg1 0.000 0.000 0.000 1
Mg2 0.250 0.250 0.250 1
Fe1 0.250 0.250 0.750 1
Se1 0.000 0.000 0.500 1
# Mass density = 4.3 Mg/m³
# Total DFT energy (no corrections) = -3.551 eV/atom
# Crystal system = cubic
# Raw formation energy = 0.233 eV per atom


(11)
# ZrU3Tl3S8 | Alexandria via LeMat-Bulk | GGA-PBE | optimized geometry
data_ZrU3Tl3S8
_chemical_formula_sum 'Zr3 U9 Tl9 S24'
_cell_length_a 7.8215
_cell_length_b 7.8215
_cell_length_c 23.1664
_cell_angle_alpha 90.00
_cell_angle_beta 90.00
_cell_angle_gamma 120.00
_symmetry_space_group_name_H-M 'R -3 m'
_symmetry_Int_Tables_number 166
_symmetry_space_group_name_Hall '-R 3 2"'
loop_
_atom_site_label
_atom_site_fract_x
_atom_site_fract_y
_atom_site_fract_z
_atom_site_occupancy
Zr1 0.0000 0.0000 0.0000 1
U1 0.0000 0.5000 0.0000 1
Tl1 0.0000 0.5000 0.5000 1
S1 0.0000 0.0000 0.2664 1
S2 0.0121 0.5060 0.7311 1
# Mass density = 6.8 Mg/m³
# Total DFT energy (no corrections) = -6.640 eV/atom
# Crystal system = trigonal
# Raw formation energy = -1.138 eV per atom


(12)
# Ta2MoW | Alexandria via LeMat-Bulk | GGA-PBE | optimized geometry
data_Ta2MoW
_chemical_formula_sum 'Ta4 Mo2 W2'
_cell_length_a 3.022
_cell_length_b 4.573
_cell_length_c 10.674
_cell_angle_alpha 90.00
_cell_angle_beta 90.00
_cell_angle_gamma 90.00
_symmetry_space_group_name_H-M 'I m m m'
_symmetry_Int_Tables_number 71
_symmetry_space_group_name_Hall '-I 2 2'
loop_
_atom_site_label
_atom_site_fract_x
_atom_site_fract_y
_atom_site_fract_z
_atom_site_occupancy
Ta1 0.000 0.000 0.249 1
Mo1 0.000 0.000 0.000 1
W1 0.000 0.000 0.500 1
# Mass density = 14.4 Mg/m³
# Total DFT energy (no corrections) = -11.025 eV/atom
# Crystal system = orthorhombic
# Energy relative to the elements = 0.847 eV per atom